1.
{
  "formula": "Tm2SiW2C2",
  "functional": "GGA-PBE",
  "state": "optimized geometry",
  "final_energy_ev_per_atom": -8.645,
  "magnetic_moment_mub_per_fu": 0.0,
  "lattice": [[-1.565, 6.756, -0.861], [-4.494, 5.293, -0.783], [0.799, -1.303, 5.552]],
  "species": ["W", "Tm", "Si", "W", "C", "Tm", "C"],
  "fractional_positions": [[0.828, 0.828, 0.159], [0.367, 0.367, 0.687], [0.000, 0.000, 0.500], [0.172, 0.172, 0.841], [0.249, 0.249, 0.245], [0.633, 0.633, 0.313], [0.751, 0.751, 0.755]]
}

---

2.
{
  "formula": "PaReHg",
  "functional": "GGA-PBE",
  "state": "optimized geometry",
  "ef_ev_per_atom": 0.546,
  "final_energy_ev_per_atom": -6.859,
  "de_polymorph_mev_per_atom": 0.0,
  "magnetic_moment_mub_per_fu": 0.0,
  "lattice": [[-1.800, -3.164, -2.924], [-4.630, -0.511, -0.325], [-2.237, 1.390, -3.855]],
  "species": ["Pa", "Re", "Hg"],
  "fractional_positions": [[0.500, 0.500, 0.500], [0.250, 0.250, 0.250], [0.000, 0.000, 0.000]]
}

---

3.
{
  "formula": "NaAs2Pd4",
  "functional": "GGA-PBE",
  "state": "optimized geometry",
  "final_energy_ev_per_atom": -4.922,
  "lattice": [[7.963, 0.000, 0.000], [0.000, 7.963, 0.000], [0.000, 0.000, 3.864]],
  "species": ["Pd", "Na", "Na", "As", "Pd", "Pd", "As", "As", "As", "Pd", "Pd", "Pd", "Pd", "Pd"],
  "fractional_positions": [[0.172, 0.425, 0.000], [0.000, 0.000, 0.000], [0.500, 0.500, 0.500], [0.271, 0.729, 0.000], [0.828, 0.575, 0.000], [0.075, 0.672, 0.500], [0.771, 0.771, 0.500], [0.729, 0.271, 0.000], [0.229, 0.229, 0.500], [0.925, 0.328, 0.500], [0.425, 0.172, 0.000], [0.575, 0.828, 0.000], [0.328, 0.925, 0.500], [0.672, 0.075, 0.500]]
}

---

4.
{
  "formula": "Li3Ta2Te3O12",
  "functional": "GGA-PBE",
  "state": "optimized geometry",
  "final_energy_ev_per_atom": -6.628,
  "magnetic_moment_mub_per_fu": 0.0,
  "lattice": [[1.298, -10.348, -2.346], [-2.475, 5.387, -8.896], [9.070, 3.887, 4.113]],
  "species": ["O", "Ta", "Ta", "O", "O", "O", "O", "Te", "O", "O", "O", "Ta", "O", "Te", "Te", "O", "O", "O", "O", "O", "O", "O", "O", "O", "O", "O", "Li", "O", "Li", "O", "Te", "O", "Te", "O", "Ta", "O", "Te", "O", "O", "O", "O", "Ta", "O", "O", "O", "Li", "O", "Ta", "Li", "O", "O", "Li", "Ta", "O", "O", "Li", "Te", "Li", "O", "O", "O", "Li", "Li", "O", "Te", "Li", "O", "Te", "Te", "Ta", "O", "O", "O", "O", "Li", "Te", "O", "Te", "Li", "O"],
  "fractional_positions": [[0.631, 0.204, 0.530], [0.000, 0.500, 0.500], [0.000, 0.000, 0.000], [0.100, 0.470, 0.674], [0.470, 0.100, 0.174], [0.400, 0.574, 0.869], [0.869, 0.900, 0.074], [0.375, 0.250, 0.125], [0.426, 0.600, 0.631], [0.574, 0.674, 0.204], [0.796, 0.926, 0.826], [0.500, 0.500, 0.500], [0.600, 0.426, 0.131], [0.875, 0.250, 0.625], [0.625, 0.375, 0.750], [0.296, 0.970, 0.369], [0.204, 0.631, 0.030], [0.131, 0.530, 0.204], [0.074, 0.369, 0.400], [0.326, 0.400, 0.030], [0.900, 0.530, 0.326], [0.369, 0.074, 0.900], [0.631, 0.926, 0.100], [0.204, 0.074, 0.174], [0.926, 0.631, 0.600], [0.600, 0.674, 0.470], [0.875, 0.750, 0.125], [0.869, 0.470, 0.796], [0.125, 0.250, 0.875], [0.826, 0.030, 0.400], [0.250, 0.875, 0.125], [0.704, 0.174, 0.074], [0.125, 0.750, 0.375], [0.100, 0.131, 0.426], [0.500, 0.500, 0.000], [0.174, 0.704, 0.574], [0.750, 0.625, 0.375], [0.030, 0.704, 0.131], [0.131, 0.100, 0.926], [0.426, 0.326, 0.796], [0.704, 0.030, 0.631], [0.500, 0.000, 0.500], [0.369, 0.796, 0.470], [0.826, 0.296, 0.426], [0.296, 0.826, 0.926], [0.750, 0.375, 0.125], [0.574, 0.400, 0.369], [0.000, 0.000, 0.500], [0.875, 0.625, 0.750], [0.970, 0.296, 0.869], [0.900, 0.869, 0.574], [0.250, 0.625, 0.875], [0.500, 0.000, 0.000], [0.926, 0.796, 0.326], [0.400, 0.326, 0.530], [0.375, 0.125, 0.750], [0.125, 0.875, 0.750], [0.750, 0.875, 0.625], [0.530, 0.900, 0.826], [0.674, 0.600, 0.970], [0.970, 0.174, 0.100], [0.125, 0.375, 0.250], [0.625, 0.250, 0.375], [0.674, 0.574, 0.704], [0.750, 0.125, 0.875], [0.625, 0.875, 0.250], [0.174, 0.970, 0.600], [0.875, 0.125, 0.250], [0.250, 0.375, 0.625], [0.000, 0.500, 0.000], [0.030, 0.826, 0.900], [0.796, 0.369, 0.970], [0.530, 0.131, 0.704], [0.074, 0.204, 0.674], [0.250, 0.125, 0.375], [0.375, 0.625, 0.250], [0.326, 0.426, 0.296], [0.625, 0.750, 0.875], [0.375, 0.750, 0.625], [0.470, 0.869, 0.296]]
}

---

5.
{
  "formula": "ErIrAu",
  "functional": "GGA-PBE",
  "state": "optimized geometry",
  "ef_ev_per_atom": -0.349,
  "final_energy_ev_per_atom": -5.911,
  "de_polymorph_mev_per_atom": 0.0,
  "magnetic_moment_mub_per_fu": 0.0,
  "lattice": [[-1.311, -3.779, -2.211], [-2.870, 0.306, -3.543], [1.508, -0.807, -4.238]],
  "species": ["Au", "Er", "Ir"],
  "fractional_positions": [[0.750, 0.750, 0.750], [0.250, 0.250, 0.250], [0.000, 0.000, 0.000]]
}

---

6.
{
  "formula": "PrI2",
  "functional": "GGA-PBE",
  "state": "optimized geometry",
  "final_energy_ev_per_atom": -3.475,
  "magnetic_moment_mub_per_fu": 1.0,
  "lattice": [[-5.759, 5.027, 6.425], [4.127, 6.437, 6.423], [-1.400, 9.817, -1.176]],
  "species": ["Pr", "I", "Pr", "I", "I", "I"],
  "fractional_positions": [[0.250, 0.250, 0.250], [0.375, 0.375, 0.875], [0.500, 0.500, 0.500], [0.375, 0.875, 0.375], [0.375, 0.375, 0.375], [0.875, 0.375, 0.375]]
}

---

7.
{
  "formula": "LaBeNbFe",
  "functional": "GGA-PBE",
  "state": "optimized geometry",
  "final_energy_ev_per_atom": -6.284,
  "de_polymorph_mev_per_atom": 0.0,
  "magnetic_moment_mub_per_fu": 1.3,
  "lattice": [[3.564, 2.439, 1.831], [-0.854, 3.835, 2.562], [0.748, -0.058, 4.630]],
  "species": ["Nb", "La", "Be", "Fe"],
  "fractional_positions": [[0.000, 0.000, 0.000], [0.500, 0.500, 0.500], [0.750, 0.750, 0.750], [0.250, 0.250, 0.250]]
}

---

8.
{
  "formula": "SrRe2Ni",
  "functional": "GGA-PBE",
  "state": "optimized geometry",
  "final_energy_ev_per_atom": -7.119,
  "magnetic_moment_mub_per_fu": 0.0,
  "lattice": [[2.280, 1.316, 3.723], [-2.280, 1.316, 3.723], [0.000, -2.632, 3.723]],
  "species": ["Ni", "Re", "Sr", "Re"],
  "fractional_positions": [[0.250, 0.250, 0.250], [0.000, 0.000, 0.000], [0.500, 0.500, 0.500], [0.750, 0.750, 0.750]]
}

---

9.
{
  "formula": "LaGdCd6",
  "functional": "GGA-PBE",
  "state": "optimized geometry",
  "ef_ev_per_atom": -0.317,
  "final_energy_ev_per_atom": -2.186,
  "magnetic_moment_mub_per_fu": 0.0,
  "lattice": [[5.170, 0.000, 0.000], [0.000, 5.170, 0.000], [0.000, 0.000, 7.303]],
  "species": ["Cd", "Cd", "Cd", "Cd", "Cd", "Cd", "La", "Gd"],
  "fractional_positions": [[0.000, 0.500, 0.757], [0.500, 0.000, 0.243], [0.500, 0.500, 0.000], [0.000, 0.500, 0.243], [0.000, 0.000, 0.500], [0.500, 0.000, 0.757], [0.500, 0.500, 0.500], [0.000, 0.000, 0.000]]
}

---

10.
{
  "formula": "TlAg3Te2",
  "functional": "GGA-PBE",
  "state": "optimized geometry",
  "final_energy_ev_per_atom": -3.010,
  "lattice": [[8.634, -2.261, 0.000], [8.634, 2.261, 0.000], [-3.889, 0.000, 8.462]],
  "species": ["Ag", "Ag", "Te", "Ag", "Te", "Ag", "Tl", "Te", "Ag", "Tl", "Ag", "Te"],
  "fractional_positions": [[0.057, 0.057, 0.408], [0.311, 0.311, 0.543], [0.484, 0.484, 0.794], [0.943, 0.943, 0.592], [0.795, 0.795, 0.293], [0.588, 0.588, 0.635], [0.132, 0.132, 0.069], [0.205, 0.205, 0.707], [0.412, 0.412, 0.365], [0.868, 0.868, 0.931], [0.689, 0.689, 0.457], [0.516, 0.516, 0.206]]
}

---

11.
{
  "formula": "InHg3GeTe4",
  "functional": "GGA-PBE",
  "state": "optimized geometry",
  "final_energy_ev_per_atom": -2.328,
  "de_polymorph_mev_per_atom": 0.0,
  "lattice": [[7.976, 0.000, 0.000], [0.000, 8.201, 0.000], [-3.181, 0.000, 9.624]],
  "species": ["Hg", "Te", "Te", "Te", "Ge", "Te", "Ge", "In", "Te", "Hg", "Te", "Te", "Hg", "In", "Hg", "Hg", "Te", "Hg"],
  "fractional_positions": [[0.267, 0.932, 0.998], [0.133, 0.250, 0.071], [0.765, 0.501, 0.298], [0.867, 0.750, 0.929], [0.938, 0.750, 0.222], [0.255, 0.750, 0.413], [0.062, 0.250, 0.778], [0.900, 0.750, 0.595], [0.765, 0.999, 0.298], [0.527, 0.250, 0.759], [0.235, 0.499, 0.702], [0.745, 0.250, 0.587], [0.267, 0.568, 0.998], [0.100, 0.250, 0.405], [0.733, 0.432, 0.002], [0.473, 0.750, 0.241], [0.235, 0.001, 0.702], [0.733, 0.068, 0.002]]
}

---

12.
{
  "formula": "Hf4CdCuC2",
  "functional": "GGA-PBE",
  "state": "optimized geometry",
  "final_energy_ev_per_atom": -8.365,
  "magnetic_moment_mub_per_fu": 0.0,
  "lattice": [[-2.050, 0.607, 2.473], [2.952, -1.273, 0.598], [5.426, 13.177, 1.262]],
  "species": ["Hf", "Cu", "Hf", "C", "Hf", "Hf", "C", "Cd"],
  "fractional_positions": [[0.667, 0.333, 0.823], [0.667, 0.333, 0.500], [0.667, 0.333, 0.177], [0.333, 0.667, 0.737], [0.000, 0.000, 0.355], [0.000, 0.000, 0.645], [0.333, 0.667, 0.263], [0.000, 0.000, 0.000]]
}